(1)
{
  "formula": "CsSnSb",
  "functional": "PBE",
  "state": "relaxed",
  "dos_ef_per_ev_cell": 2.02,
  "e_form_raw_ev_per_atom": -0.241,
  "cell": [[4.033, 0.000, 0.000], [0.000, 4.033, 0.000], [-2.017, -2.017, 6.977]],
  "species": ["Cs", "Sn", "Sb"],
  "fractional_positions": [[0.001, 0.001, 0.002], [0.294, 0.294, 0.588], [0.705, 0.705, 0.410]]
}

(2)
{
  "formula": "CsSnSb",
  "functional": "PBE",
  "state": "relaxed",
  "dos_ef_per_ev_cell": 1.05,
  "e_form_raw_ev_per_atom": -0.342,
  "cell": [[-1.499, -7.403, 1.817], [0.407, 2.272, 3.912], [-6.769, 5.092, 0.386]],
  "species": ["Cs", "Cs", "Sn", "Sn", "Sb", "Sb"],
  "fractional_positions": [[0.199, 0.946, 0.307], [0.801, 0.054, 0.693], [0.281, 0.676, 0.929], [0.719, 0.324, 0.071], [0.370, 0.317, 0.736], [0.630, 0.683, 0.264]]
}